Record 1
4
Lattice="5.4390 -0.0600 0.0000 0.1924 5.4359 0.0000 -2.8157 -2.6879 3.7991" Properties=species:S:1:pos:R:3 comment="KZr2Cl GGA-PBE relaxed" de_polymorph_mev_per_atom=1205.7 n_ef_per_ev_fu=4.3 spacegroup="I-4m2 (119)" formation_energy_uncorrected_ev_per_atom=0.7386 magmom_total_mub_per_fu=4.7 pbc="T T T"
K 2.7195 -0.0300 1.8995
Zr 0.0000 0.0000 0.0000
Zr 0.0962 2.7179 1.8995
Cl 2.8157 2.6879 0.0000

---

Record 2
3
Lattice="-1.8364 0.5137 -5.2706 -5.4882 0.5082 -1.0185 -2.0790 4.8916 -1.7792" Properties=species:S:1:pos:R:3 comment="KZrCl GGA-PBE relaxed" de_polymorph_mev_per_atom=1306.9 n_ef_per_ev_fu=5.7 spacegroup="F-43m (216)" formation_energy_uncorrected_ev_per_atom=0.8404 magmom_total_mub_per_fu=3.7 pbc="T T T"
K -7.0527 4.4351 -6.0512
Zr 0.0000 0.0000 0.0000
Cl -4.7018 2.9568 -4.0341

---

Record 3
14
Lattice="-3.0998 -6.6152 1.0474 1.1969 -2.1931 6.9444 -8.5300 1.1744 5.3345" Properties=species:S:1:pos:R:3 comment="KZrCl5 GGA-PBE relaxed" n_ef_per_ev_fu=0.0 spacegroup="C2/c (15)" formation_energy_uncorrected_ev_per_atom=-1.8330 magmom_total_mub_per_fu=0.0 pbc="T T T"
K -7.5271 -3.7066 7.7524
K -2.9059 -3.9273 5.5739
Zr 0.0000 0.0000 0.0000
Zr -4.2650 0.5872 2.6672
Cl -8.3015 -1.1699 5.9433
Cl -4.4497 -3.3507 8.5454
Cl -3.3524 -1.0530 4.2149
Cl -9.2073 -5.4360 5.4463
Cl -8.3056 -1.6966 10.1145
Cl -2.1274 -5.9373 3.2118
Cl -1.2257 -2.1980 7.8800
Cl -7.0805 -6.5809 9.1114
Cl -5.9833 -4.2833 4.7809
Cl -2.1314 -6.4640 7.3830

---

Record 4
5
Lattice="-0.3859 -4.9166 0.9206 4.7626 -0.6435 -1.4400 1.5293 0.7632 4.7168" Properties=species:S:1:pos:R:3 comment="KZr3Cl GGA-PBE relaxed" de_polymorph_mev_per_atom=0.0 n_ef_per_ev_fu=2.7 spacegroup="Pm-3m (221)" formation_energy_uncorrected_ev_per_atom=0.4366 magmom_total_mub_per_fu=0.0 pbc="T T T"
K 2.9530 -2.3985 2.0987
Zr 2.3813 -0.3217 -0.7200
Zr 0.7647 0.3816 2.3584
Zr -0.1930 -2.4583 0.4603
Cl 0.0000 0.0000 0.0000

---

Record 5
4
Lattice="-0.1966 5.0143 -5.8104 -5.0231 4.0116 -4.1975 2.4974 -2.6184 6.7713" Properties=species:S:1:pos:R:3 comment="KZrCl2 GGA-PBE relaxed" de_polymorph_mev_per_atom=189.6 n_ef_per_ev_fu=2.0 spacegroup="Imm2 (44)" formation_energy_uncorrected_ev_per_atom=-0.9290 magmom_total_mub_per_fu=0.8 pbc="T T T"
K -2.3815 4.1180 -4.5661
Zr -2.3068 2.5018 -0.7147
Cl -0.3762 0.6506 -0.7214
Cl -0.2677 3.6501 -2.2384

---

Record 6
6
Lattice="-2.6112 -4.8927 -2.7229 -3.6355 -3.7788 3.2672 -6.0918 -0.0780 -1.0272" Properties=species:S:1:pos:R:3 comment="KZr4Cl GGA-PBE relaxed" n_ef_per_ev_fu=11.8 spacegroup="F-43m (216)" formation_energy_uncorrected_ev_per_atom=0.8059 magmom_total_mub_per_fu=0.0 pbc="T T T"
K 0.0000 0.0000 0.0000
Zr -6.4554 -5.2014 1.5184
Zr -5.9234 -5.7800 -1.5931
Zr -7.7313 -3.2791 -0.7123
Zr -4.5670 -3.2386 -0.1787
Cl -9.2539 -6.5622 -0.3622

---

Record 7
12
Lattice="-1.9940 -3.6193 -5.6239 6.5582 -4.7055 5.0981 -6.9538 1.3835 3.7076" Properties=species:S:1:pos:R:3 comment="KZrCl4 GGA-PBE relaxed" de_polymorph_mev_per_atom=0.0 n_ef_per_ev_fu=1.7 spacegroup="C2/c (15)" formation_energy_uncorrected_ev_per_atom=-1.7990 magmom_total_mub_per_fu=0.0 pbc="T T T"
K 1.4994 -4.0196 2.0878
K -3.8890 -2.9216 1.0941
Zr -0.8932 -4.2263 7.3992
Zr -1.4964 -2.7150 -4.2173
Cl 1.0497 -2.7381 -0.7682
Cl -1.0160 -6.0482 2.1234
Cl 4.4982 -3.7849 3.0642
Cl 0.0641 -4.3411 4.9653
Cl -2.4537 -2.6002 -1.7834
Cl -6.8878 -3.1564 0.1177
Cl -1.3736 -0.8930 1.0585
Cl -3.4393 -4.2031 3.9501

---

Record 8
8
Lattice="6.0040 0.0000 0.0000 0.0000 6.0040 0.0000 3.0020 3.0020 7.5775" Properties=species:S:1:pos:R:3 comment="KZrCl2 GGA-PBE relaxed" de_polymorph_mev_per_atom=336.1 n_ef_per_ev_fu=2.2 spacegroup="I-42d (122)" formation_energy_uncorrected_ev_per_atom=-0.7825 magmom_total_mub_per_fu=2.8 pbc="T T T"
K 3.0020 3.0020 0.0000
K 3.0020 6.0040 3.7888
Zr 0.0000 0.0000 0.0000
Zr 6.0040 3.0020 3.7888
Cl 5.0151 1.5010 1.8944
Cl 0.9889 4.5030 1.8944
Cl 4.5030 3.9909 5.6831
Cl 7.5050 8.0171 5.6831

---

Record 9
4
Lattice="8.2969 -0.0212 0.0000 6.3999 5.2801 0.0000 -7.3484 -2.6294 2.8152" Properties=species:S:1:pos:R:3 comment="KZrCl2 GGA-PBE relaxed" de_polymorph_mev_per_atom=479.5 n_ef_per_ev_fu=3.0 spacegroup="I-4m2 (119)" formation_energy_uncorrected_ev_per_atom=-0.6390 magmom_total_mub_per_fu=2.4 pbc="T T T"
K 7.3484 2.6294 0.0000
Zr 4.1484 -0.0106 1.4076
Cl 0.0000 0.0000 0.0000
Cl 3.2000 2.6400 1.4076

---

Record 10
4
Lattice="3.4148 0.0000 0.0000 0.0000 4.0531 0.0000 0.0000 0.0000 7.6583" Properties=species:S:1:pos:R:3 comment="KZrCl2 GGA-PBE relaxed" de_polymorph_mev_per_atom=206.9 n_ef_per_ev_fu=2.4 spacegroup="Pmm2 (25)" formation_energy_uncorrected_ev_per_atom=-0.9117 magmom_total_mub_per_fu=0.9 pbc="T T T"
K 0.0000 0.0000 3.3789
Zr 1.7074 2.0265 6.7453
Cl 0.0000 0.0000 7.3032
Cl 1.7074 2.0265 1.7185

---

Record 11
5
Lattice="-0.7850 4.8594 -1.4788 -4.5356 0.0030 2.4176 2.2866 1.6743 4.2878" Properties=species:S:1:pos:R:3 comment="KZrCl3 GGA-PBE relaxed" n_ef_per_ev_fu=2.8 spacegroup="Pm-3m (221)" formation_energy_uncorrected_ev_per_atom=-1.4670 magmom_total_mub_per_fu=0.0 pbc="T T T"
K -1.5170 3.2683 2.6133
Zr 0.0000 0.0000 0.0000
Cl -2.2678 0.0015 1.2088
Cl 1.1433 0.8371 2.1439
Cl -0.3925 2.4297 -0.7394

---

Record 12
19
Lattice="8.5804 0.6819 -1.7065 -2.2005 8.3214 -1.7065 0.4832 0.6819 8.7351" Properties=species:S:1:pos:R:3 comment="K6ZrCl12 GGA-PBE relaxed" n_ef_per_ev_fu=7.4 spacegroup="R-3 (148)" formation_energy_uncorrected_ev_per_atom=-1.6512 magmom_total_mub_per_fu=2.0 pbc="T T T"
K 1.0365 2.8786 4.6877
K 5.7375 4.2042 5.4852
K 1.7324 7.7532 4.1914
K 5.8265 6.8066 0.6345
K 1.1256 5.4810 -0.1630
K 5.1306 1.9320 1.1308
Zr 0.0000 0.0000 0.0000
Cl 3.9620 1.9839 4.0336
Cl 0.2501 5.2739 2.8331
Cl 4.0457 4.3955 -0.4631
Cl 2.9011 7.7013 1.2885
Cl 6.6130 4.4113 2.4890
Cl 2.8174 5.2896 5.7852
Cl -1.6132 8.3502 4.6188
Cl 0.2954 8.4396 -1.6761
Cl 0.3344 3.0759 8.0343
Cl 8.4762 1.3350 0.7034
Cl 6.5677 1.2456 6.9983
Cl 6.5287 6.6093 -2.7121

---

no.,final energy (Ry/atom)
1,-0.314
2,-0.220
3,-0.333
4,-0.388
5,-0.313
6,-0.396
7,-0.341
8,-0.303
9,-0.292
10,-0.312
11,-0.331
12,-0.266